Compound: Rb2BeZnCl6
Source: the Alexandria database
Functional: PBE
Structure: relaxed

Unit cell a=6.9886 b=6.9886 c=10.5047 alpha=90.00 beta=90.00 gamma=90.00
Space group I4/mmm (No. 139)
Asymmetric unit:
Rb 0.0000 0.5000 0.2500 [4 per cell]
Be 0.0000 0.0000 0.0000 [2 per cell]
Zn 0.0000 0.0000 0.5000 [2 per cell]
Cl 0.0000 0.0000 0.2891 [4 per cell]
Cl 0.2192 0.2192 0.0000 [8 per cell]



Compound: Rb2ZrBeCl6
Source: the Alexandria database
Functional: PBE
Structure: relaxed

Unit cell a=7.0222 b=7.0222 c=10.0669 alpha=90.00 beta=90.00 gamma=90.00
Space group I4/mmm (No. 139)
Asymmetric unit:
Rb 0.0000 0.5000 0.2500 [4 per cell]
Zr 0.0000 0.0000 0.0000 [2 per cell]
Be 0.0000 0.0000 0.5000 [2 per cell]
Cl 0.0000 0.0000 0.2640 [4 per cell]
Cl 0.2318 0.2318 0.5000 [8 per cell]



Compound: Rb3Zr6BeCl15
Source: the Alexandria database
Functional: PBE
Structure: relaxed

Unit cell a=17.0383 b=11.7088 c=14.4289 alpha=90.00 beta=93.54 gamma=90.00
Space group C2/c (No. 15)
Asymmetric unit:
Rb 0.0000 0.0622 0.2500 [4 per cell]
Rb 0.1115 0.2448 0.5671 [8 per cell]
Zr 0.1358 0.1387 0.9979 [8 per cell]
Zr 0.1926 0.3852 0.0972 [8 per cell]
Zr 0.1989 0.3498 0.8672 [8 per cell]
Be 0.2500 0.2500 0.0000 [4 per cell]
Cl 0.0000 0.0000 0.0000 [4 per cell]
Cl 0.0582 0.2753 0.1012 [8 per cell]
Cl 0.0688 0.2295 0.8498 [8 per cell]
Cl 0.1303 0.4940 0.4606 [8 per cell]
Cl 0.1323 0.4582 0.7127 [8 per cell]
Cl 0.1773 0.0205 0.1432 [8 per cell]
Cl 0.1868 0.0247 0.3974 [8 per cell]
Cl 0.2390 0.2831 0.2500 [8 per cell]



Compound: BeRe2Cl
Source: the Alexandria database
Functional: PBE
Structure: relaxed

- E above lowest polymorph: 11.7 kJ/mol of atoms

Unit cell a=2.9326 b=2.9326 c=8.1321 alpha=90.00 beta=90.00 gamma=90.00
Space group P4mm (No. 99)
Asymmetric unit:
Be 0.0000 0.0000 0.0000 [1 per cell]
Re 0.0000 0.0000 0.6532 [1 per cell]
Re 0.5000 0.5000 0.8534 [1 per cell]
Cl 0.5000 0.5000 0.4352 [1 per cell]



Compound: Be2ReCl
Source: the Alexandria database
Functional: PBE
Structure: relaxed

- E above lowest polymorph: 30.6 kJ/mol of atoms

Unit cell a=2.8828 b=3.0151 c=7.5064 alpha=90.00 beta=90.00 gamma=90.00
Space group Pmm2 (No. 25)
Asymmetric unit:
Be 0.0000 0.0000 0.0000 [1 per cell]
Be 0.5000 0.5000 0.1595 [1 per cell]
Re 0.5000 0.5000 0.8634 [1 per cell]
Cl 0.0000 0.0000 0.3154 [1 per cell]



Compound: BeReCl
Source: the Alexandria database
Functional: PBE
Structure: relaxed

- E above lowest polymorph: 134.3 kJ/mol of atoms

Unit cell a=5.6204 b=5.6204 c=5.6204 alpha=90.00 beta=90.00 gamma=90.00
Space group F-43m (No. 216)
Asymmetric unit:
Be 0.0000 0.0000 0.0000 [4 per cell]
Re 0.2500 0.2500 0.7500 [4 per cell]
Cl 0.2500 0.2500 0.2500 [4 per cell]



Compound: Be2ReCl
Source: the Alexandria database
Functional: PBE
Structure: relaxed

- E above lowest polymorph: 41.5 kJ/mol of atoms

Unit cell a=2.7256 b=4.8963 c=9.7675 alpha=90.00 beta=90.00 gamma=90.00
Space group Cmm2 (No. 35)
Asymmetric unit:
Be 0.0000 0.0000 0.0000 [2 per cell]
Be 0.0000 0.5000 0.1990 [2 per cell]
Re 0.0000 0.5000 0.7979 [2 per cell]
Cl 0.0000 0.0000 0.3446 [2 per cell]



Compound: Be3ReCl
Source: the Alexandria database
Functional: PBE
Structure: relaxed

- E above lowest polymorph: 13.2 kJ/mol of atoms

Unit cell a=4.3832 b=4.3832 c=4.3832 alpha=90.00 beta=90.00 gamma=90.00
Space group Pm-3m (No. 221)
Asymmetric unit:
Be 0.0000 0.0000 0.5000 [3 per cell]
Re 0.0000 0.0000 0.0000 [1 per cell]
Cl 0.5000 0.5000 0.5000 [1 per cell]



Compound: BeReCl
Source: the Alexandria database
Functional: PBE
Structure: relaxed

- E above lowest polymorph: 27.4 kJ/mol of atoms

Unit cell a=2.8768 b=2.8768 c=12.8738 alpha=90.00 beta=90.00 gamma=90.00
Space group I4mm (No. 107)
Asymmetric unit:
Be 0.0000 0.0000 0.0000 [2 per cell]
Re 0.0000 0.0000 0.4056 [2 per cell]
Cl 0.0000 0.0000 0.7735 [2 per cell]



Compound: BeRe2Cl
Source: the Alexandria database
Functional: PBE
Structure: relaxed

- E above lowest polymorph: 60.8 kJ/mol of atoms

Unit cell a=3.4825 b=3.9389 c=5.7395 alpha=90.00 beta=102.26 gamma=90.00
Space group P2/m (No. 10)
Asymmetric unit:
Be 0.0000 0.0000 0.0000 [1 per cell]
Re 0.3049 0.5000 0.1400 [2 per cell]
Cl 0.5000 0.0000 0.5000 [1 per cell]



Compound: Be2ReCl
Source: the Alexandria database
Functional: PBE
Structure: relaxed

- E above lowest polymorph: 71.1 kJ/mol of atoms

Unit cell a=2.7700 b=4.3863 c=8.0775 alpha=90.00 beta=90.00 gamma=90.00
Space group Immm (No. 71)
Asymmetric unit:
Be 0.0000 0.0000 0.2420 [4 per cell]
Re 0.0000 0.5000 0.0000 [2 per cell]
Cl 0.0000 0.5000 0.5000 [2 per cell]



Compound: Be2ReCl
Source: the Alexandria database
Functional: PBE
Structure: relaxed

- E above lowest polymorph: 54.4 kJ/mol of atoms

Unit cell a=4.2232 b=4.2232 c=2.8023 alpha=90.00 beta=90.00 gamma=90.00
Space group P4/mmm (No. 123)
Asymmetric unit:
Be 0.0000 0.5000 0.0000 [2 per cell]
Re 0.0000 0.0000 0.5000 [1 per cell]
Cl 0.5000 0.5000 0.5000 [1 per cell]



Compound: Be2ReCl
Source: the Alexandria database
Functional: PBE
Structure: relaxed

- E above lowest polymorph: 19.9 kJ/mol of atoms

Unit cell a=3.0581 b=3.0581 c=5.6721 alpha=90.00 beta=90.00 gamma=90.00
Space group P4/mmm (No. 123)
Asymmetric unit:
Be 0.0000 0.0000 0.1810 [2 per cell]
Re 0.5000 0.5000 0.0000 [1 per cell]
Cl 0.5000 0.5000 0.5000 [1 per cell]



Compound: Be2ReCl
Source: the Alexandria database
Functional: PBE
Structure: relaxed

- E above lowest polymorph: 112.5 kJ/mol of atoms

Unit cell a=5.8674 b=5.8674 c=5.8674 alpha=90.00 beta=90.00 gamma=90.00
Space group Fm-3m (No. 225)
Asymmetric unit:
Be 0.2500 0.2500 0.2500 [8 per cell]
Re 0.0000 0.0000 0.0000 [4 per cell]
Cl 0.0000 0.0000 0.5000 [4 per cell]



Compound: BeRe4Cl
Source: the Alexandria database
Functional: PBE
Structure: relaxed

Unit cell a=7.3741 b=7.3741 c=7.3741 alpha=90.00 beta=90.00 gamma=90.00
Space group F-43m (No. 216)
Asymmetric unit:
Be 0.0000 0.0000 0.0000 [4 per cell]
Re 0.1244 0.1244 0.6244 [16 per cell]
Cl 0.2500 0.2500 0.2500 [4 per cell]



Compound: BeRe2Cl
Source: the Alexandria database
Functional: PBE
Structure: relaxed

- E above lowest polymorph: 80.8 kJ/mol of atoms

Unit cell a=5.1862 b=9.0755 c=3.0389 alpha=90.00 beta=124.43 gamma=90.00
Space group C2/m (No. 12)
Asymmetric unit:
Be 0.0000 0.0000 0.0000 [2 per cell]
Re 0.2500 0.2500 0.5000 [4 per cell]
Cl 0.0000 0.5000 0.0000 [2 per cell]



Compound: BeRe2Cl
Source: the Alexandria database
Functional: PBE
Structure: relaxed

- E above lowest polymorph: 41.4 kJ/mol of atoms

Unit cell a=11.7301 b=2.8603 c=3.6142 alpha=90.00 beta=107.81 gamma=90.00
Space group C2/m (No. 12)
Asymmetric unit:
Be 0.0000 0.0000 0.0000 [2 per cell]
Re 0.1933 0.5000 0.1935 [4 per cell]
Cl 0.0000 0.5000 0.5000 [2 per cell]



Compound: BeRe2Cl
Source: the Alexandria database
Functional: PBE
Structure: relaxed

- E above lowest polymorph: 21.5 kJ/mol of atoms

Unit cell a=2.9017 b=4.8024 c=9.6710 alpha=90.00 beta=90.00 gamma=90.00
Space group Cmm2 (No. 35)
Asymmetric unit:
Be 0.0000 0.0000 0.0000 [2 per cell]
Re 0.0000 0.0000 0.5696 [2 per cell]
Re 0.0000 0.5000 0.7911 [2 per cell]
Cl 0.0000 0.5000 0.1436 [2 per cell]



Compound: BeRe2Cl
Source: the Alexandria database
Functional: PBE
Structure: relaxed

- E above lowest polymorph: 0.0 kJ/mol of atoms

Unit cell a=3.0007 b=2.9792 c=8.1445 alpha=90.00 beta=95.29 gamma=90.00
Space group Pm (No. 6)
Asymmetric unit:
Be 0.0000 0.0000 0.0000 [1 per cell]
Re 0.0831 0.0000 0.3326 [1 per cell]
Re 0.5354 0.5000 0.1421 [1 per cell]
Cl 0.1439 0.5000 0.5701 [1 per cell]



Compound: Be2ReCl
Source: the Alexandria database
Functional: PBE
Structure: relaxed

- E above lowest polymorph: 18.4 kJ/mol of atoms

Unit cell a=3.1216 b=4.6667 c=7.2040 alpha=90.00 beta=90.00 gamma=90.00
Space group Cmmm (No. 65)
Asymmetric unit:
Be 0.0000 0.0000 0.2391 [4 per cell]
Re 0.0000 0.5000 0.0000 [2 per cell]
Cl 0.0000 0.5000 0.5000 [2 per cell]



Number 1: uncorrected formation energy -1.413 eV per atom. Number 2: uncorrected formation energy -1.406 eV per atom. Number 3: uncorrected formation energy -1.726 eV per atom. Number 4: uncorrected formation energy 0.231 eV per atom. Number 5: uncorrected formation energy 0.383 eV per atom. Number 6: uncorrected formation energy 1.674 eV per atom. Number 7: uncorrected formation energy 0.495 eV per atom. Number 8: uncorrected formation energy 1.380 eV per atom. Number 9: uncorrected formation energy 0.566 eV per atom. Number 10: uncorrected formation energy 0.740 eV per atom. Number 11: uncorrected formation energy 0.803 eV per atom. Number 12: uncorrected formation energy 0.630 eV per atom. Number 13: uncorrected formation energy 0.272 eV per atom. Number 14: uncorrected formation energy 1.232 eV per atom. Number 15: uncorrected formation energy 1.287 eV per atom. Number 16: uncorrected formation energy 0.948 eV per atom. Number 17: uncorrected formation energy 0.539 eV per atom. Number 18: uncorrected formation energy 0.333 eV per atom. Number 19: uncorrected formation energy 0.110 eV per atom. Number 20: uncorrected formation energy 0.256 eV per atom.